Sr2LiRhO6: relaxed, PBE.

Output
* energy relative to the elements, uncorrected: -1647.3 meV per atom
* DOS at the Fermi energy: 7.1 states/eV/f.u.
* electronic total energy: -5.885 eV per atom

Structure (POSCAR):
```
Sr2LiRhO6
1.0
-3.8986 -1.2546 -3.8522
4.0306 -1.5686 -3.5683
-0.3813 -7.4052 2.8243
O Li Sr Rh
12 2 4 2
Direct
0.2895 0.7282 0.4756
0.2105 0.2282 0.0244
0.7695 0.7876 0.5254
0.9525 0.5047 0.2415
0.2305 0.2124 0.4746
0.7305 0.2876 0.9746
0.7105 0.2718 0.5244
0.0475 0.4953 0.7585
0.5475 0.0047 0.2585
0.4525 0.9953 0.7415
0.2695 0.7124 0.0254
0.7895 0.7718 0.9756
0.0000 0.5000 0.5000
0.5000 0.0000 0.0000
0.9970 0.0258 0.7494
0.0030 0.9742 0.2506
0.5030 0.5258 0.7507
0.4970 0.4742 0.2493
0.5000 0.0000 0.5000
0.0000 0.5000 0.0000
```

SrLi2RhO4: relaxed, PBE.

Output
* energy relative to the elements, uncorrected: -1529.2 meV per atom
* DOS at the Fermi energy: 0.8 states/eV/f.u.
* electronic total energy: -5.616 eV per atom

Structure (POSCAR):
```
SrLi2RhO4
1.0
5.3621 0.0001 0.0001
2.6811 4.4199 0.4260
2.6811 0.7868 4.3701
Sr O Rh Li
1 4 1 2
Direct
0.0000 0.0000 0.0000
0.5137 0.4863 0.8738
0.8738 0.5137 0.1262
0.1262 0.8738 0.4863
0.4863 0.1262 0.5137
0.5000 0.5000 0.5000
0.2500 0.2500 0.2500
0.7500 0.7500 0.7500
```

Li3TbRh4O12: relaxed, PBE.

Output
* energy relative to the elements, uncorrected: -1272.7 meV per atom
* DOS at the Fermi energy: 11.5 states/eV/f.u.
* electronic total energy: -6.236 eV per atom

Structure (POSCAR):
```
Li3TbRh4O12
1.0
-5.3700 -2.4138 2.7407
4.0373 -4.8606 -1.4996
2.9255 4.0388 4.1597
O Rh Li Tb
12 4 3 1
Direct
0.8751 0.7028 0.1723
0.4695 0.2972 0.1723
0.8277 0.5305 0.7028
0.7028 0.1723 0.8751
0.2972 0.8277 0.1249
0.8277 0.1249 0.2972
0.1723 0.8751 0.7028
0.1249 0.2972 0.8277
0.2972 0.1723 0.4695
0.5305 0.7028 0.8277
0.1723 0.4695 0.2972
0.7028 0.8277 0.5305
0.5000 0.0000 0.0000
0.0000 0.0000 0.5000
0.0000 0.5000 0.0000
0.5000 0.5000 0.5000
0.0000 0.5000 0.5000
0.5000 0.0000 0.5000
0.5000 0.5000 0.0000
0.0000 0.0000 0.0000
```

Li3Tb3RhO8: relaxed, PBE.

Output
* energy relative to the elements, uncorrected: -2392.3 meV per atom
* DOS at the Fermi energy: 7.2 states/eV/f.u.
* electronic total energy: -6.836 eV per atom

Structure (POSCAR):
```
Li3Tb3RhO8
1.0
6.6545 0.0000 -0.0001
-3.3273 5.7645 -0.0182
-0.0001 -3.8251 4.9726
Tb O Rh Li
3 8 1 3
Direct
0.5000 0.5000 0.5000
0.0000 0.5000 0.5000
0.5000 0.0000 0.5000
0.7750 0.0023 0.7298
0.2274 0.4547 0.7298
0.7448 0.4896 0.7346
0.2250 0.9977 0.2702
0.7727 0.9977 0.2702
0.7726 0.5453 0.2702
0.2273 0.0023 0.7298
0.2552 0.5104 0.2654
0.0000 0.0000 0.5000
0.5000 0.5000 0.0000
0.0000 0.5000 0.0000
0.0000 0.0000 0.0000
```

Li2TeRh2O6: relaxed, PBE.

Output
* energy relative to the elements, uncorrected: -1020.0 meV per atom
* DOS at the Fermi energy: 1.6 states/eV/f.u.
* electronic total energy: -5.695 eV per atom

Structure (POSCAR):
```
Li2TeRh2O6
1.0
5.5102 -0.0829 0.0406
-2.7955 4.7491 0.0406
-0.9906 -1.7028 4.9598
O Li Rh Te
6 2 2 1
Direct
0.5776 0.9355 0.2769
0.9355 0.5776 0.2769
0.2613 0.2613 0.2725
0.4224 0.0645 0.7231
0.7387 0.7387 0.7275
0.0645 0.4224 0.7231
0.8083 0.1917 0.0000
0.1917 0.8083 0.0000
0.3359 0.6641 0.5000
0.6641 0.3359 0.5000
0.0000 0.0000 0.5000
```

Li3TeRh3O8: relaxed, PBE.

Output
* energy relative to the elements, uncorrected: -1011.6 meV per atom
* DOS at the Fermi energy: 5.0 states/eV/f.u.
* electronic total energy: -5.719 eV per atom

Structure (POSCAR):
```
Li3TeRh3O8
1.0
6.2613 0.0000 0.0000
-3.1307 5.4202 -0.0206
0.0000 -3.6000 4.9657
Rh Li O Te
3 3 8 1
Direct
0.0000 0.5000 0.5000
0.5000 0.5000 0.5000
0.5000 0.0000 0.5000
0.5000 0.5000 0.0000
0.0000 0.5000 0.0000
0.0000 0.0000 0.0000
0.2620 0.0151 0.2686
0.7531 0.5062 0.2687
0.7380 0.9849 0.7314
0.7531 0.0151 0.2686
0.2469 0.4938 0.7313
0.2469 0.9849 0.7314
0.7387 0.4773 0.7155
0.2613 0.5227 0.2845
0.0000 0.0000 0.5000
```

Which value of electronic total energy does entry 3 give? -6.236 eV per atom